No. 1
A plane-wave DFT calculation with PBE was carried out for a geometry-optimized CsCd2Ni structure.

Output
offset from the most stable computed form = 0.00 kcal/mol of atoms

Lattice parameters (Å, degrees): 9.0491 9.0491 9.0491 139.23 139.23 59.02
Element x y z (fractional)
Cs: 0.3750 0.6250 0.7500
Cs: 0.6250 0.3750 0.2500
Cd: 0.0000 0.0000 0.0000
Cd: 0.0000 0.0000 0.5000
Cd: 0.0000 0.5000 0.0000
Cd: 0.5000 0.0000 0.5000
Ni: 0.1250 0.8750 0.2500
Ni: 0.8750 0.1250 0.7500



No. 2
A plane-wave DFT calculation with PBE was carried out for a geometry-optimized BaMo2Ru structure.

Output
offset from the most stable computed form = 1.78 kcal/mol of atoms

Lattice parameters (Å, degrees): 3.4091 3.4091 7.8431 90.00 90.00 90.00
Element x y z (fractional)
Ba: 0.0000 0.0000 0.0000
Mo: 0.5000 0.5000 0.3526
Mo: 0.5000 0.5000 0.6474
Ru: 0.0000 0.0000 0.5000



No. 3
A plane-wave DFT calculation with PBE was carried out for a geometry-optimized Te2HCl structure.

Output
offset from the most stable computed form = 0.00 kcal/mol of atoms

Lattice parameters (Å, degrees): 9.0878 9.0878 9.0878 21.49 21.49 21.49
Element x y z (fractional)
Te: 0.0741 0.0741 0.0741
Te: 0.9259 0.9259 0.9259
H: 0.0000 0.0000 0.0000
Cl: 0.5000 0.5000 0.5000



No. 4
A plane-wave DFT calculation with PBE was carried out for a geometry-optimized Pr5HoEr3 structure.

Output
offset from the most stable computed form = 1.05 kcal/mol of atoms

Lattice parameters (Å, degrees): 9.7444 9.7444 9.7444 122.48 122.48 85.75
Element x y z (fractional)
Pr: 0.0000 0.0000 0.0000
Pr: 0.0683 0.5683 0.9019
Pr: 0.1664 0.0683 0.5000
Pr: 0.3336 0.8336 0.9019
Pr: 0.4317 0.3336 0.5000
Pr: 0.5000 0.5000 0.0000
Pr: 0.5683 0.6664 0.5000
Pr: 0.6664 0.1664 0.0981
Pr: 0.8336 0.9317 0.5000
Pr: 0.9317 0.4317 0.0981
Ho: 0.2500 0.7500 0.5000
Ho: 0.7500 0.2500 0.5000
Er: 0.1091 0.3909 0.5000
Er: 0.2500 0.2500 0.0000
Er: 0.3909 0.8909 0.2818
Er: 0.6091 0.1091 0.7182
Er: 0.7500 0.7500 0.0000
Er: 0.8909 0.6091 0.5000



No. 5
A plane-wave DFT calculation with PBE was carried out for a geometry-optimized Cs2AgHg2 structure.

Output
offset from the most stable computed form = 2.21 kcal/mol of atoms

Lattice parameters (Å, degrees): 6.7324 6.7324 6.7324 114.14 114.14 100.49
Element x y z (fractional)
Cs: 0.2500 0.7500 0.5000
Cs: 0.7500 0.2500 0.5000
Ag: 0.0000 0.0000 0.0000
Hg: 0.3292 0.3292 0.0000
Hg: 0.6708 0.6708 0.0000



No. 6
A plane-wave DFT calculation with PBE was carried out for a geometry-optimized RbCd2Ni2 structure.

Output
offset from the most stable computed form = 1.43 kcal/mol of atoms

Lattice parameters (Å, degrees): 6.5730 6.5730 6.5730 139.34 139.34 58.86
Element x y z (fractional)
Rb: 0.0000 0.0000 0.0000
Cd: 0.3597 0.3597 0.0000
Cd: 0.6403 0.6403 0.0000
Ni: 0.2500 0.7500 0.5000
Ni: 0.7500 0.2500 0.5000



No. 7
A plane-wave DFT calculation with PBE was carried out for a geometry-optimized NdHo2Er2Tm2 structure.

Output
calculated total energy = -30.93 eV per cell

Lattice parameters (Å, degrees): 8.9237 8.9237 8.2760 116.02 116.02 22.46
Element x y z (fractional)
Nd: 0.0000 0.0000 0.0000
Ho: 0.4277 0.4277 0.5865
Ho: 0.5723 0.5723 0.4135
Er: 0.2111 0.2111 0.2976
Er: 0.7889 0.7889 0.7024
Tm: 0.3499 0.3499 0.1082
Tm: 0.6501 0.6501 0.8918



No. 8
A plane-wave DFT calculation with PBE was carried out for a geometry-optimized Ce4Ag2O structure.

Output
uncorrected formation energy = -715.4 meV per atom

Lattice parameters (Å, degrees): 8.2964 8.2964 8.2964 145.91 145.91 48.98
Element x y z (fractional)
Ce: 0.0000 0.5000 0.5000
Ce: 0.1714 0.1714 0.0000
Ce: 0.5000 0.0000 0.5000
Ce: 0.8286 0.8286 0.0000
Ag: 0.3661 0.3661 0.0000
Ag: 0.6339 0.6339 0.0000
O: 0.0000 0.0000 0.0000



No. 9
A plane-wave DFT calculation with PBE was carried out for a geometry-optimized La6NdYEr2 structure.

Output
calculated total energy = -97.81 eV per cell

Lattice parameters (Å, degrees): 9.0475 9.0475 9.8783 94.41 94.41 118.08
Element x y z (fractional)
La: 0.0096 0.5614 0.1898
La: 0.1080 0.7596 0.5520
La: 0.2404 0.8920 0.9480
La: 0.2948 0.5070 0.3782
La: 0.4386 0.9904 0.3102
La: 0.4930 0.7052 0.1218
La: 0.5070 0.2948 0.8782
La: 0.5614 0.0096 0.6898
La: 0.7052 0.4930 0.6218
La: 0.7596 0.1080 0.0520
La: 0.8920 0.2404 0.4480
La: 0.9904 0.4386 0.8102
Nd: 0.4085 0.5915 0.7500
Nd: 0.5915 0.4085 0.2500
Y: 0.0272 0.9728 0.2500
Y: 0.9728 0.0272 0.7500
Er: 0.1948 0.2898 0.0458
Er: 0.2898 0.1948 0.5458
Er: 0.7102 0.8052 0.4542
Er: 0.8052 0.7102 0.9542



No. 10
A plane-wave DFT calculation with PBE was carried out for a geometry-optimized Nd2Hg3Pd4 structure.

Output
offset from the most stable computed form = 0.00 kcal/mol of atoms

Lattice parameters (Å, degrees): 4.8635 4.8705 9.1336 83.49 83.63 62.18
Element x y z (fractional)
Nd: 0.1535 0.1543 0.2255
Nd: 0.8465 0.8457 0.7745
Hg: 0.1989 0.1987 0.5865
Hg: 0.5000 0.5000 0.0000
Hg: 0.8011 0.8013 0.4135
Pd: 0.1683 0.1668 0.9050
Pd: 0.4755 0.4756 0.3460
Pd: 0.5245 0.5244 0.6540
Pd: 0.8317 0.8332 0.0950



No. 11
A plane-wave DFT calculation with PBE was carried out for a geometry-optimized TbTh2As2Rh7 structure.

Output
calculated total energy = -89.84 eV per cell

Lattice parameters (Å, degrees): 4.0875 4.0875 13.4815 96.07 96.07 89.44
Element x y z (fractional)
Tb: 0.0000 0.0000 0.0000
Th: 0.1136 0.1136 0.3487
Th: 0.8864 0.8864 0.6513
As: 0.4135 0.4135 0.7460
As: 0.5865 0.5865 0.2540
Rh: 0.0538 0.5548 0.1581
Rh: 0.3377 0.3377 0.5634
Rh: 0.4452 0.9462 0.8419
Rh: 0.5000 0.5000 0.0000
Rh: 0.5548 0.0538 0.1581
Rh: 0.6623 0.6623 0.4366
Rh: 0.9462 0.4452 0.8419



| no. | total magnetization (μB/f.u.) |
| --- | --- |
| 1 | 0.0 |
| 2 | 0.0 |
| 3 | 0.0 |
| 4 | 0.0 |
| 5 | 0.0 |
| 6 | 0.0 |
| 7 | 0.0 |
| 8 | 4.1 |
| 9 | 0.0 |
| 10 | 0.0 |
| 11 | 0.0 |